# Cd2SbRu | Alexandria | PBE-GGA | optimized geometry
data_Cd2SbRu
_chemical_formula_sum 'Cd6 Sb3 Ru3'
_cell_length_a 3.2334
_cell_length_b 3.2334
_cell_length_c 28.7825
_cell_angle_alpha 90.00
_cell_angle_beta 90.00
_cell_angle_gamma 120.00
_symmetry_space_group_name_H-M 'R 3 m'
_symmetry_Int_Tables_number 160
_symmetry_space_group_name_Hall 'R 3 -2"'
loop_
_atom_site_label
_atom_site_type_symbol
_atom_site_fract_x
_atom_site_fract_y
_atom_site_fract_z
_atom_site_occupancy
Cd1 Cd 0.0000 0.0000 0.0000 1
Cd2 Cd 0.0000 0.0000 0.2388 1
Sb1 Sb 0.0000 0.0000 0.7674 1
Ru1 Ru 0.0000 0.0000 0.4973 1
# spin magnetization	0.00	μB per cell
# E_form (uncorrected)	0.113	eV/atom

# CdSb2Ru | Alexandria | PBE-GGA | optimized geometry
data_CdSb2Ru
_chemical_formula_sum 'Cd2 Sb4 Ru2'
_cell_length_a 4.273
_cell_length_b 4.273
_cell_length_c 9.212
_cell_angle_alpha 90.00
_cell_angle_beta 90.00
_cell_angle_gamma 90.00
_symmetry_space_group_name_H-M 'I -4 m 2'
_symmetry_Int_Tables_number 119
_symmetry_space_group_name_Hall 'I -4 -2'
loop_
_atom_site_label
_atom_site_type_symbol
_atom_site_fract_x
_atom_site_fract_y
_atom_site_fract_z
_atom_site_occupancy
Cd1 Cd 0.000 0.000 0.000 1
Sb1 Sb 0.000 0.000 0.500 1
Sb2 Sb 0.000 0.500 0.250 1
Ru1 Ru 0.000 0.500 0.750 1
# spin magnetization	0.00	μB per cell
# E_form (uncorrected)	0.411	eV/atom